Entry 1:
This record from the Alexandria database describes an optimized crystal structure of Pm13Al2. The functional is PBE-GGA.

Results
V in Å³ per atom: 32.181
Crystal system: triclinic
Energy of formation from the pure elements in eV/atom: -0.053
Space-group type: P-1
N(E_F) in states/eV per atom: 1.3315

```
15
Lattice="6.8544 0.0000 0.0000 1.0502 8.5566 0.0000 1.7235 3.5058 8.2305" Properties=species:S:1:pos:R:3 pbc="T T T"
Pm 0.0000 0.0000 0.0000
Pm 2.6050 6.6620 5.9891
Pm 1.8558 2.4949 1.2550
Pm 3.6774 10.0610 4.7645
Pm 4.4673 9.0157 8.0070
Pm 3.5204 4.9331 3.2462
Pm 4.9365 3.9975 6.5137
Pm 4.6916 8.0649 1.7168
Pm 6.1077 7.1292 4.9843
Pm 5.1608 3.0467 0.2235
Pm 5.9507 2.0013 3.4660
Pm 7.7723 9.5675 6.9755
Pm 7.0231 5.4004 2.2413
Al 1.8592 7.9134 3.1054
Al 7.7689 4.1489 5.1251
```

Entry 2:
This record from the Alexandria database describes an optimized crystal structure of Pm5Al4. The functional is PBE-GGA.

Results
V in Å³ per atom: 27.541
Crystal system: monoclinic
Energy of formation from the pure elements in eV/atom: -0.322
Space-group type: C2/m
N(E_F) in states/eV per atom: 0.9432

```
9
Lattice="5.4946 -2.4041 0.0000 5.4946 2.4041 0.0000 -4.9781 0.0000 9.3823" Properties=species:S:1:pos:R:3 pbc="T T T"
Pm 0.0000 0.0000 0.0000
Pm -0.8541 0.0000 3.8390
Pm -1.4987 0.0000 7.8169
Pm 7.5099 0.0000 1.5654
Pm 6.8652 0.0000 5.5432
Al 2.3537 0.0000 3.5234
Al 4.1915 0.0000 1.6350
Al 1.8197 0.0000 7.7473
Al 3.6574 0.0000 5.8589
```

Entry 3:
This record from the Alexandria database describes an optimized crystal structure of Pm3Al11. The functional is PBE-GGA.

Results
V in Å³ per atom: 20.203
Crystal system: orthorhombic
Energy of formation from the pure elements in eV/atom: -0.376
Space-group type: Immm
N(E_F) in states/eV per atom: 0.1968

```
14
Lattice="-2.1659 5.0091 6.5177 2.1659 -5.0091 6.5177 2.1659 5.0091 -6.5177" Properties=species:S:1:pos:R:3 pbc="T T T"
Pm 0.0000 0.0000 0.0000
Pm 0.0000 0.0000 4.1334
Pm 0.0000 0.0000 8.9019
Al 2.1659 -1.3066 2.1547
Al 2.1659 -2.2473 4.7234
Al 2.1659 2.8573 0.0000
Al 2.1659 1.3066 2.1547
Al 0.0000 2.7618 1.7943
Al 0.0000 5.0091 0.0000
Al 2.1659 2.2473 4.7234
Al 0.0000 3.7026 4.3630
Al 0.0000 2.1518 6.5177
Al 0.0000 7.2565 1.7943
Al 0.0000 6.3157 4.3630
```

Entry 4:
This record from the Alexandria database describes an optimized crystal structure of PmAl5. The functional is PBE-GGA.

Results
V in Å³ per atom: 20.039
Crystal system: orthorhombic
Energy of formation from the pure elements in eV/atom: -0.213
Space-group type: Immm
N(E_F) in states/eV per atom: 0.4224

```
6
Lattice="-2.2175 3.2674 4.1486 2.2175 -3.2674 4.1486 2.2175 3.2674 -4.1486" Properties=species:S:1:pos:R:3 pbc="T T T"
Pm 0.0000 0.0000 0.0000
Al 2.2175 1.8933 -1.3358
Al 2.2175 1.8933 1.3358
Al 0.0000 3.2674 0.0000
Al 0.0000 1.3741 2.8128
Al 0.0000 1.3741 5.4844
```

Entry 5:
This record from the Alexandria database describes an optimized crystal structure of PmAl3. The functional is PBE-GGA.

Results
V in Å³ per atom: 20.390
Crystal system: cubic
Energy of formation from the pure elements in eV/atom: -0.394
Space-group type: Pm-3m
N(E_F) in states/eV per atom: 0.3093

```
4
Lattice="4.3367 0.0000 0.0000 0.0000 4.3367 0.0000 0.0000 0.0000 4.3367" Properties=species:S:1:pos:R:3 pbc="T T T"
Pm 0.0000 0.0000 0.0000
Al 0.0000 2.1683 2.1683
Al 2.1683 0.0000 2.1683
Al 2.1683 2.1683 0.0000
```

Entry 6:
This record from the Alexandria database describes an optimized crystal structure of PmAl2. The functional is PBE-GGA.

Results
V in Å³ per atom: 22.255
Crystal system: tetragonal
Energy of formation from the pure elements in eV/atom: -0.251
Space-group type: I4/mmm
N(E_F) in states/eV per atom: 0.6162

```
3
Lattice="-1.7044 1.7044 5.7461 1.7044 -1.7044 5.7461 1.7044 1.7044 -5.7461" Properties=species:S:1:pos:R:3 pbc="T T T"
Pm 0.0000 0.0000 0.0000
Al 0.0000 0.0000 3.5583
Al 0.0000 0.0000 7.9339
```

Entry 7:
This record from the Alexandria database describes an optimized crystal structure of Pm3Al4. The functional is PBE-GGA.

Results
V in Å³ per atom: 25.009
Crystal system: orthorhombic
Energy of formation from the pure elements in eV/atom: -0.382
Space-group type: Cmcm
N(E_F) in states/eV per atom: 0.9266

```
14
Lattice="2.2317 -5.6528 0.0000 2.2317 5.6528 0.0000 0.0000 0.0000 13.8769" Properties=species:S:1:pos:R:3 pbc="T T T"
Pm 2.2317 5.4752 10.4076
Pm 2.2317 2.5147 1.4274
Pm 2.2317 2.5147 5.5110
Pm 2.2317 -2.5147 8.3658
Pm 2.2317 -2.5147 12.4494
Pm 2.2317 -5.4752 3.4692
Al 0.0000 0.0000 0.0000
Al 0.0000 0.0000 6.9384
Al 2.2317 2.2615 10.4076
Al 2.2317 0.7381 8.2584
Al 2.2317 0.7381 12.5568
Al 2.2317 -0.7381 1.3200
Al 2.2317 -0.7381 5.6184
Al 2.2317 -2.2615 3.4692
```

Entry 8:
This record from the Alexandria database describes an optimized crystal structure of PmAl3. The functional is PBE-GGA.

Results
V in Å³ per atom: 21.210
Crystal system: tetragonal
Energy of formation from the pure elements in eV/atom: -0.231
Space-group type: I4/mmm
N(E_F) in states/eV per atom: 0.6664

```
4
Lattice="-2.1519 2.1519 4.5802 2.1519 -2.1519 4.5802 2.1519 2.1519 -4.5802" Properties=species:S:1:pos:R:3 pbc="T T T"
Pm 0.0000 0.0000 0.0000
Al 2.1519 0.0000 2.2901
Al 0.0000 0.0000 4.5802
Al 0.0000 2.1519 2.2901
```

- Look up the V of the first one.
  32.181 Å³ per atom

- The lowest energy of formation from the pure elements belongs to which entry?
  number 5

- Which formula does entry 6 have?
  PmAl2